# 1
4
Lattice="0.000 3.255 3.255 3.255 0.000 3.255 3.255 3.255 0.000" Properties=species:S:1:pos:R:3 comment="TbMgNiRu (PBE-GGA, relaxed)" m_tot_mub_per_atom=0.00 dos_at_fermi_per_ev_cell=2.41 formation_enthalpy_0k_ev_per_fu=-0.7 pbc="T T T"
Tb 0.000 0.000 0.000
Mg 3.255 3.255 3.255
Ni 4.883 4.883 4.883
Ru 1.628 1.628 1.628

=====

# 2
5
Lattice="4.825 0.000 0.000 0.000 4.825 0.000 0.000 0.000 4.831" Properties=species:S:1:pos:R:3 comment="LiAlCd2S (PBE-GGA, relaxed)" m_tot_mub_per_atom=0.00 formation_energy_uncorrected_ev_per_atom=0.431 dos_at_fermi_per_ev_cell=2.53 pbc="T T T"
Li 0.000 0.000 0.000
Al 0.000 0.000 2.415
Cd 0.000 2.413 0.000
Cd 2.413 0.000 0.000
S 2.413 2.413 2.415